A) ## BaCeP2 (PBE)

Data for a relaxed structure of BaCeP2.

It has space group R-3m (No. 166, hexagonal axes), with a = 4.3016 Å, b = 4.3016 Å, c = 21.8033 Å, α = 90.00°, β = 90.00° and γ = 120.00°. The asymmetric unit holds Ba at (0.0000, 0.0000, 0.0000), Ce at (0.0000, 0.0000, 0.5000) and P at (0.0000, 0.0000, 0.2341).


B) ## BaCeP2 (PBE)

Data for a relaxed structure of BaCeP2.

It has space group R3m (No. 160, hexagonal axes), with a = 4.2521 Å, b = 4.2521 Å, c = 22.3519 Å, α = 90.00°, β = 90.00° and γ = 120.00°. The asymmetric unit holds Ba at (0.0000, 0.0000, 0.0000), Ce at (0.0000, 0.0000, 0.1700), P at (0.0000, 0.0000, 0.5712) and P at (0.0000, 0.0000, 0.7689).


Stability, descending: A), B)


A) ## BaCePd2 (PBE)

Data for a relaxed structure of BaCePd2.

It has space group R-3m (No. 166, hexagonal axes), with a = 4.3057 Å, b = 4.3057 Å, c = 22.0547 Å, α = 90.00°, β = 90.00° and γ = 120.00°. The asymmetric unit holds Ba at (0.0000, 0.0000, 0.0000), Ce at (0.0000, 0.0000, 0.5000) and Pd at (0.0000, 0.0000, 0.2350).


B) ## BaCePd2 (PBE)

Data for a relaxed structure of BaCePd2.

It has space group P4/mmm (No. 123), with a = 3.711 Å, b = 3.711 Å, c = 7.679 Å, α = 90.00°, β = 90.00° and γ = 90.00°. The asymmetric unit holds Ba at (0.000, 0.000, 0.000), Ce at (0.000, 0.000, 0.500) and Pd at (0.500, 0.500, 0.305).


C) ## BaCePd2 (PBE)

Data for a relaxed structure of BaCePd2.

It has space group R3m (No. 160, hexagonal axes), with a = 4.2054 Å, b = 4.2054 Å, c = 23.1541 Å, α = 90.00°, β = 90.00° and γ = 120.00°. The asymmetric unit holds Ba at (0.0000, 0.0000, 0.0000), Ce at (0.0000, 0.0000, 0.1717), Pd at (0.0000, 0.0000, 0.5727) and Pd at (0.0000, 0.0000, 0.7691).


Stability, descending: B), A), C)


A) ## BaCePm2 (PBE)

Data for a relaxed structure of BaCePm2.

It has space group P4/mmm (No. 123), with a = 3.691 Å, b = 3.691 Å, c = 10.922 Å, α = 90.00°, β = 90.00° and γ = 90.00°. The asymmetric unit holds Ba at (0.000, 0.000, 0.000), Ce at (0.000, 0.000, 0.500) and Pm at (0.500, 0.500, 0.290).


B) ## BaCePm2 (PBE)

Data for a relaxed structure of BaCePm2.

It has space group R-3m (No. 166, hexagonal axes), with a = 4.2538 Å, b = 4.2538 Å, c = 30.7595 Å, α = 90.00°, β = 90.00° and γ = 120.00°. The asymmetric unit holds Ba at (0.0000, 0.0000, 0.0000), Ce at (0.0000, 0.0000, 0.5000) and Pm at (0.0000, 0.0000, 0.1171).


Stability, descending: A), B)